16
Lattice="-0.3970 4.8439 -1.2434 -6.5536 0.2282 2.9817 5.8191 1.4969 3.9736" Properties=species:S:1:pos:R:3 comment="PBE-GGA Ga3Ni2Pt3, optimized geometry" formation_enthalpy_0k_ev_per_atom=-0.4434 dos_ef_per_ev_cell=8.68 pbc="T T T"
Ga 3.1706 4.5252 1.4359
Pt -1.8842 3.6882 -0.2107
Pt -5.0664 1.3839 1.9491
Ga -2.7467 1.3032 0.8937
Pt -0.2771 1.6286 1.3729
Pt 4.3112 2.3456 2.7009
Ni 1.4964 3.4960 3.0213
Pt -0.8545 4.9405 4.3391
Ga -0.5945 4.3298 1.8772
Ni -2.6279 3.0731 2.6907
Ga -0.5370 2.2392 3.8348
Ni 1.6949 1.0740 3.6430
Ga -4.2040 3.7690 0.8447
Pt 1.1109 3.9953 0.0294
Ga 2.2514 1.8157 1.2943
Ni -2.4294 0.6511 3.3124

***

5
Lattice="-3.6573 5.2273 -2.8800 -2.5098 -4.4116 -4.8200 -5.4147 -1.4858 4.1794" Properties=species:S:1:pos:R:3 comment="PBE-GGA Cs3TiZn, optimized geometry" formation_enthalpy_0k_ev_per_atom=1.1135 dos_ef_per_ev_cell=23.58 pbc="T T T"
Cs -1.2549 -2.2058 -2.4100
Cs -1.8286 2.6136 -1.4400
Cs -2.7074 -0.7429 2.0897
Ti -5.7909 -0.3351 -1.7603
Zn 0.0000 0.0000 0.0000

***

4
Lattice="0.0000 3.0820 3.0820 3.0820 0.0000 3.0820 3.0820 3.0820 0.0000" Properties=species:S:1:pos:R:3 comment="PBE-GGA AlRe2Cl, optimized geometry" raw_formation_energy_ev_per_atom=0.9699 dos_ef_per_ev_cell=3.82 pbc="T T T"
Re 1.5410 1.5410 1.5410
Al 0.0000 0.0000 0.0000
Re 4.6230 4.6230 4.6230
Cl 3.0820 3.0820 3.0820

***

12
Lattice="-1.6183 2.5671 -6.4367 4.8816 -5.1360 0.6564 -5.8871 -3.7882 1.2808" Properties=species:S:1:pos:R:3 comment="PBE-GGA CePm2Sm3P6, optimized geometry" formation_enthalpy_0k_ev_per_atom=-1.5677 dos_ef_per_ev_cell=5.15 pbc="T T T"
P 0.4082 -2.8438 0.0553
P -3.0320 -3.5134 -4.5548
P -0.8966 -6.0441 -2.2245
Sm 0.8494 -5.7400 0.1088
P 0.9998 -2.8796 -4.0434
P -3.6235 -3.4776 -0.4561
Sm -3.4732 -0.6172 -4.6083
Pm 0.5503 -0.0029 -4.0702
Ce 0.0000 0.0000 0.0000
P -1.7272 -0.3131 -2.2750
Pm 2.7130 -2.5660 -1.7101
Sm -1.3119 -3.1786 -2.2498

***

4
Lattice="4.5645 -0.0194 0.0063 2.3006 3.9423 0.0063 2.2728 1.2988 5.4023" Properties=species:S:1:pos:R:3 comment="PBE-GGA SrSbIr2, optimized geometry" raw_formation_energy_ev_per_atom=-0.2113 dos_ef_per_ev_cell=2.87 pbc="T T T"
Ir 2.2756 1.3004 4.4754
Ir 4.5662 2.6093 3.6344
Sb 6.8535 3.9163 4.0612
Sr 2.2845 1.3054 1.3537

***

5
Lattice="4.7226 0.0000 0.0000 0.0000 4.8407 0.0000 0.0000 0.0000 4.7226" Properties=species:S:1:pos:R:3 comment="PBE-GGA Cr2NiSeS, optimized geometry" raw_formation_energy_ev_per_atom=1.1285 dos_ef_per_ev_cell=5.54 pbc="T T T"
Cr 2.3613 0.0000 0.0000
S 0.0000 2.4203 0.0000
Cr 0.0000 0.0000 2.3613
Se 0.0000 0.0000 0.0000
Ni 2.3613 2.4203 2.3613